Ac2Tb3Te6 | PBE-GGA | optimized geometry

extended XYZ file:
```
11
Lattice="7.4140 0.0000 2.2147 3.7070 6.6747 1.1073 0.3267 0.0000 7.9629" Properties=species:S:1:pos:R:3 pbc="T T T"
Ac 3.8703 4.4740 5.0888
Ac 7.5773 2.2007 6.1961
Tb 0.0000 0.0000 0.0000
Tb 3.7070 2.2694 1.1073
Tb 7.4139 4.4053 2.2147
Te 5.8200 4.5258 7.7582
Te 5.6817 0.0000 7.7355
Te 2.1130 2.1489 6.6509
Te 2.0589 0.0000 2.4421
Te 5.6277 2.1489 3.5267
Te 9.3346 4.5258 4.6340
```

Summary:
Raw formation energy ... -140.34 kJ per mole of atoms
Total magnetic moment ... 0.000 μB per atom